{
  "formula": "CePaCoN4",
  "functional": "PBE",
  "state": "relaxed",
  "formation_energy_uncorrected_ev_per_atom": -1.0016,
  "m_tot_mub_per_fu": 0.000,
  "volume_a3_per_cell": 83,
  "lattice_angstrom": [[-1.734, 2.950, -1.405], [-1.485, -2.128, -2.637], [-3.189, -1.520, 5.618]],
  "species": ["N", "N", "N", "N", "Co", "Ce", "Pa"],
  "frac_coords": [[0.993, 0.493, 0.985], [0.179, 0.179, 0.357], [0.819, 0.819, 0.638], [0.493, 0.993, 0.985], [0.021, 0.021, 0.042], [0.636, 0.636, 0.272], [0.360, 0.360, 0.721]]
}



{
  "formula": "Nd2CuPbO5",
  "functional": "PBE",
  "state": "relaxed",
  "formation_energy_uncorrected_ev_per_atom": -1.6769,
  "m_tot_mub_per_fu": 0.604,
  "volume_a3_per_cell": 296,
  "lattice_angstrom": [[-5.154, 3.102, 2.183], [-3.016, -5.950, 1.333], [2.676, 0.045, 6.255]],
  "species": ["Cu", "Cu", "O", "O", "O", "O", "O", "O", "O", "O", "O", "O", "Nd", "Nd", "Nd", "Nd", "Pb", "Pb"],
  "frac_coords": [[0.000, 0.500, 0.500], [0.000, 0.000, 0.000], [0.500, 0.500, 0.500], [0.732, 0.358, 0.142], [0.268, 0.358, 0.142], [0.268, 0.858, 0.358], [0.268, 0.642, 0.858], [0.732, 0.642, 0.858], [0.732, 0.142, 0.642], [0.268, 0.142, 0.642], [0.500, 0.000, 0.000], [0.732, 0.858, 0.358], [0.500, 0.325, 0.825], [0.500, 0.675, 0.175], [0.500, 0.825, 0.675], [0.500, 0.175, 0.325], [0.000, 0.000, 0.500], [0.000, 0.500, 0.000]]
}